## a
IrAu4: optimized geometry, PBE.

Cell and atoms, written as extended XYZ:
```
5
Lattice="5.0144 0.0000 0.0000 0.0000 5.0144 0.0000 0.0000 0.0000 5.0144" Properties=species:S:1:pos:R:3 pbc="T T T"
Ir 0.0000 0.0000 0.0000
Au 0.0000 0.0000 2.5072
Au 0.0000 2.5072 0.0000
Au 2.5072 0.0000 0.0000
Au 2.5072 2.5072 2.5072
```

Properties
Its total magnetization is 0.83 μB per formula unit. As for the space group: No. 221.

## b
IrAu4: optimized geometry, PBE.

Cell and atoms, written as extended XYZ:
```
5
Lattice="-3.2285 3.2285 2.0750 3.2285 -3.2285 2.0750 3.2285 3.2285 -2.0750" Properties=species:S:1:pos:R:3 pbc="T T T"
Ir 0.0000 0.0000 0.0000
Au 2.5636 1.3103 0.0000
Au 1.9182 -0.6649 2.0750
Au 1.3103 3.8933 0.0000
Au 0.6649 1.9182 2.0750
```

Properties
Its total magnetization is 0.00 μB per formula unit. As for the space group: No. 87.

Which of them is most stable, and which least? Most stable: b; least stable: a.

## a
Ir5Au3: optimized geometry, PBE.

Cell and atoms, written as extended XYZ:
```
16
Lattice="4.7253 0.0000 0.0000 1.9594 7.2668 0.0000 2.1343 0.3488 8.0562" Properties=species:S:1:pos:R:3 pbc="T T T"
Ir 0.9177 1.2355 1.9206
Ir 3.3657 2.1381 6.7648
Ir 4.2351 4.4404 7.5862
Ir 3.0676 4.7080 1.9781
Ir 3.1931 2.0917 2.4341
Ir 5.6259 5.5239 5.6221
Ir 5.7514 2.9076 6.0781
Ir 4.5840 3.1752 0.4700
Ir 5.4533 5.4776 1.2914
Ir 7.9013 6.3801 6.1356
Au 3.2357 3.9961 4.6856
Au 5.2980 6.9348 8.0221
Au 4.2602 6.7420 3.5125
Au 4.5588 0.8737 4.5437
Au 3.5210 0.6808 0.0341
Au 5.5833 3.6195 3.3706
```

Properties
Its total magnetization is 0.00 μB per formula unit. As for the space group: No. 2.

## b
Ir5Au3: optimized geometry, PBE.

Cell and atoms, written as extended XYZ:
```
16
Lattice="8.1241 0.0000 0.0000 -4.0620 7.0356 0.0000 0.0000 0.0000 4.7987" Properties=species:S:1:pos:R:3 pbc="T T T"
Ir -0.7493 1.2978 1.1997
Ir -3.3128 5.7379 3.5991
Ir 1.4985 0.0000 1.1997
Ir 0.7493 1.2978 3.5991
Ir 0.0000 4.6904 0.0000
Ir 0.0000 4.6904 2.3994
Ir 4.0620 2.3452 0.0000
Ir 4.0620 2.3452 2.3994
Ir 6.6255 0.0000 3.5991
Ir 3.3128 5.7379 1.1997
Au -1.6028 2.7761 3.5991
Au -2.4592 4.2595 1.1997
Au 3.2056 0.0000 3.5991
Au 1.6028 2.7761 1.1997
Au 4.9185 0.0000 1.1997
Au 2.4592 4.2595 3.5991
```

Properties
Its total magnetization is 0.00 μB per formula unit. As for the space group: No. 193.

Which of them is most stable, and which least? Most stable: a; least stable: b.

## a
K2IrAu: optimized geometry, PBE.

Cell and atoms, written as extended XYZ:
```
4
Lattice="2.9411 0.0000 0.0000 0.0000 2.9411 0.0000 0.0000 0.0000 10.5174" Properties=species:S:1:pos:R:3 pbc="T T T"
K 0.0000 0.0000 2.5013
K 0.0000 0.0000 8.0161
Ir 1.4705 1.4705 0.0000
Au 1.4705 1.4705 5.2587
```

Properties
Its total magnetization is 0.00 μB per formula unit. As for the space group: No. 123.

## b
K2IrAu: optimized geometry, PBE.

Cell and atoms, written as extended XYZ:
```
4
Lattice="2.8388 0.0000 0.0000 0.0000 5.1962 0.0000 0.0000 0.0000 6.2199" Properties=species:S:1:pos:R:3 pbc="T T T"
K 0.0000 0.0000 1.5214
K 0.0000 0.0000 4.6985
Ir 1.4194 2.5981 0.0000
Au 1.4194 2.5981 3.1099
```

Properties
Its total magnetization is 0.01 μB per formula unit. As for the space group: No. 47.

## c
K2IrAu: optimized geometry, PBE.

Cell and atoms, written as extended XYZ:
```
8
Lattice="-6.0452 6.0452 2.5117 6.0452 -6.0452 2.5117 6.0452 6.0452 -2.5117" Properties=species:S:1:pos:R:3 pbc="T T T"
K 0.4691 3.0226 0.6279
K -3.0226 5.5761 1.8838
K -0.4691 9.0679 0.6279
K 3.0226 6.5144 1.8838
Ir 0.0000 0.0000 0.0000
Ir 0.0000 6.0452 1.2559
Au 6.0452 0.0000 1.2559
Au 0.0000 0.0000 2.5117
```

Properties
Its total magnetization is 0.00 μB per formula unit. As for the space group: No. 122.

## d
K2IrAu: optimized geometry, PBE.

Cell and atoms, written as extended XYZ:
```
4
Lattice="-2.0928 2.0928 5.1765 2.0928 -2.0928 5.1765 2.0928 2.0928 -5.1765" Properties=species:S:1:pos:R:3 pbc="T T T"
K 2.0928 0.0000 2.5883
K 0.0000 2.0928 2.5883
Ir 0.0000 0.0000 0.0000
Au 0.0000 0.0000 5.1765
```

Properties
Its total magnetization is 0.00 μB per formula unit. As for the space group: No. 139.

Which of them is most stable, and which least? Most stable: a; least stable: d.

## a
KTl2IrAu: optimized geometry, PBE.

Cell and atoms, written as extended XYZ:
```
5
Lattice="5.2469 0.0000 0.0000 0.0000 5.2469 0.0000 0.0000 0.0000 5.4565" Properties=species:S:1:pos:R:3 pbc="T T T"
K 0.0000 0.0000 0.0000
Tl 0.0000 2.6235 2.7282
Tl 2.6235 0.0000 2.7282
Ir 2.6235 2.6235 2.7282
Au 2.6235 2.6235 0.0000
```

Properties
Its total magnetization is 0.00 μB per formula unit. As for the space group: No. 123.

## b
KTl2IrAu: optimized geometry, PBE.

Cell and atoms, written as extended XYZ:
```
5
Lattice="6.0582 0.0000 0.0000 0.0000 6.0582 0.0000 0.0000 0.0000 4.8765" Properties=species:S:1:pos:R:3 pbc="T T T"
K 0.0000 0.0000 0.0000
Tl 0.0000 3.0291 0.0000
Tl 3.0291 0.0000 0.0000
Ir 0.0000 0.0000 2.4383
Au 3.0291 3.0291 2.4383
```

Properties
Its total magnetization is 0.41 μB per formula unit. As for the space group: No. 123.

Which of them is most stable, and which least? Most stable: a; least stable: b.

## a
KVIr2Au: optimized geometry, PBE.

Cell and atoms, written as extended XYZ:
```
5
Lattice="4.9809 0.0000 0.0000 0.0000 4.9809 0.0000 0.0000 0.0000 5.2320" Properties=species:S:1:pos:R:3 pbc="T T T"
K 0.0000 0.0000 0.0000
V 2.4904 2.4904 0.0000
Ir 0.0000 2.4904 2.6160
Ir 2.4904 0.0000 2.6160
Au 0.0000 0.0000 2.6160
```

Properties
Its total magnetization is 1.10 μB per formula unit. As for the space group: No. 123.

## b
KVIr2Au: optimized geometry, PBE.

Cell and atoms, written as extended XYZ:
```
5
Lattice="5.0756 0.0000 0.0000 0.0000 5.0756 0.0000 0.0000 0.0000 4.7676" Properties=species:S:1:pos:R:3 pbc="T T T"
K 0.0000 0.0000 0.0000
V 2.5378 2.5378 0.0000
Ir 0.0000 2.5378 2.3838
Ir 2.5378 0.0000 2.3838
Au 2.5378 2.5378 2.3838
```

Properties
Its total magnetization is 1.76 μB per formula unit. As for the space group: No. 123.

Which of them is most stable, and which least? Most stable: b; least stable: a.

## a
La3IrAu: optimized geometry, PBE.

Cell and atoms, written as extended XYZ:
```
10
Lattice="2.1073 -6.6991 0.0000 2.1073 6.6991 0.0000 0.0000 0.0000 10.8087" Properties=species:S:1:pos:R:3 pbc="T T T"
La 2.1073 5.6426 8.1065
La 2.1073 1.8412 6.0539
La 2.1073 1.8412 10.1592
La 2.1073 -1.8412 0.6495
La 2.1073 -1.8412 4.7548
La 2.1073 -5.6426 2.7022
Ir 0.0000 0.0000 0.0000
Ir 0.0000 0.0000 5.4043
Au 2.1073 3.3488 2.7022
Au 2.1073 -3.3488 8.1065
```

Properties
Its total magnetization is 0.00 μB per formula unit. As for the space group: No. 63.

## b
La3IrAu: optimized geometry, PBE.

Cell and atoms, written as extended XYZ:
```
10
Lattice="5.9181 0.0000 0.0000 2.8988 6.3557 0.0000 1.3418 2.4514 7.7904" Properties=species:S:1:pos:R:3 pbc="T T T"
La 0.9057 1.2866 1.1161
La 3.4721 2.9792 5.2420
La 3.9169 3.5287 1.7900
La 6.2417 5.2784 6.0004
La 6.6866 5.8279 2.5484
La 9.2530 7.5206 6.6743
Ir 6.2250 7.6992 7.5660
Ir 3.9337 1.1079 0.2244
Au 3.6941 5.9847 3.9369
Au 6.4645 2.8224 3.8535
```

Properties
Its total magnetization is 0.00 μB per formula unit. As for the space group: No. 2.

Which of them is most stable, and which least? Most stable: a; least stable: b.

## a
LaIrAu2: optimized geometry, PBE.

Cell and atoms, written as extended XYZ:
```
4
Lattice="-2.1740 2.1740 4.3404 2.1740 -2.1740 4.3404 2.1740 2.1740 -4.3404" Properties=species:S:1:pos:R:3 pbc="T T T"
La 0.0000 0.0000 0.0000
Ir 0.0000 2.1740 2.1702
Au 2.1740 0.0000 2.1702
Au 0.0000 0.0000 4.3404
```

Properties
Its total magnetization is 0.00 μB per formula unit. As for the space group: No. 119.

## b
LaIrAu2: optimized geometry, PBE.

Cell and atoms, written as extended XYZ:
```
4
Lattice="2.9908 -2.9951 0.0000 2.9908 2.9951 0.0000 0.0000 0.0000 4.5270" Properties=species:S:1:pos:R:3 pbc="T T T"
La 0.0000 0.0000 0.0000
Ir 2.9908 0.0000 0.0000
Au 1.4954 1.4975 2.2635
Au 1.4954 -1.4975 2.2635
```

Properties
Its total magnetization is 0.00 μB per formula unit. As for the space group: No. 65.

## c
LaIrAu2: optimized geometry, PBE.

Cell and atoms, written as extended XYZ:
```
4
Lattice="4.0063 0.0000 0.0000 0.0000 4.0025 0.0000 -1.9987 0.0000 5.4812" Properties=species:S:1:pos:R:3 pbc="T T T"
La 0.0000 0.0000 0.0000
Ir 2.0013 2.0013 0.6226
Au 0.0055 2.0013 3.3151
Au 2.0064 0.0000 2.4952
```

Properties
Its total magnetization is 0.00 μB per formula unit. As for the space group: No. 6.

## d
LaIrAu2: optimized geometry, PBE.

Cell and atoms, written as extended XYZ:
```
4
Lattice="1.5105 0.8721 10.0694 -1.5105 0.8721 10.0694 0.0000 -1.7442 10.0694" Properties=species:S:1:pos:R:3 pbc="T T T"
La 0.0000 0.0000 0.0000
Ir 0.0000 0.0000 15.1040
Au 0.0000 0.0000 7.2945
Au 0.0000 0.0000 22.9136
```

Properties
Its total magnetization is 1.51 μB per formula unit. As for the space group: No. 166.

Which of them is most stable, and which least? Most stable: b; least stable: d.

## a
La2Ir2Au: optimized geometry, PBE.

Cell and atoms, written as extended XYZ:
```
5
Lattice="-2.7839 2.7839 4.0678 2.7839 -2.7839 4.0678 2.7839 2.7839 -4.0678" Properties=species:S:1:pos:R:3 pbc="T T T"
La 2.7839 0.0000 2.0339
La 0.0000 2.7839 2.0339
Ir 0.0000 0.0000 1.3134
Ir 0.0000 0.0000 6.8223
Au 0.0000 0.0000 4.0678
```

Properties
Its total magnetization is 0.00 μB per formula unit. As for the space group: No. 139.

## b
La2Ir2Au: optimized geometry, PBE.

Cell and atoms, written as extended XYZ:
```
10
Lattice="7.6082 0.0000 0.0000 0.0000 7.6082 0.0000 0.0000 0.0000 3.9781" Properties=species:S:1:pos:R:3 pbc="T T T"
La 1.3138 2.4902 0.0000
La 2.4902 6.2943 0.0000
La 5.1179 1.3138 0.0000
La 6.2943 5.1179 0.0000
Ir 1.0007 4.8047 1.9891
Ir 2.8034 1.0007 1.9891
Ir 4.8047 6.6075 1.9891
Ir 6.6075 2.8034 1.9891
Au 0.0000 0.0000 1.9891
Au 3.8041 3.8041 1.9891
```

Properties
Its total magnetization is 0.00 μB per formula unit. As for the space group: No. 127.

## c
La2Ir2Au: optimized geometry, PBE.

Cell and atoms, written as extended XYZ:
```
5
Lattice="-1.9693 1.9693 8.0503 1.9693 -1.9693 8.0503 1.9693 1.9693 -8.0503" Properties=species:S:1:pos:R:3 pbc="T T T"
La 0.0000 0.0000 1.9291
La 0.0000 0.0000 14.1715
Ir 1.9693 0.0000 4.0252
Ir 0.0000 1.9693 4.0252
Au 0.0000 0.0000 8.0503
```

Properties
Its total magnetization is 0.00 μB per formula unit. As for the space group: No. 139.

Which of them is most stable, and which least? Most stable: b; least stable: c.